No. 1
Crystalline YSc at its relaxed geometry. Source: Alexandria via LeMat-Bulk, functional PBE.

Geometry as POSCAR:
```
YSc
1.0
5.263 0.000 0.000
-2.632 4.558 0.000
0.000 0.000 10.066
Y Sc
4 4
Direct
0.333 0.667 0.088
0.333 0.667 0.412
0.667 0.333 0.588
0.667 0.333 0.912
0.000 0.000 0.250
0.000 0.000 0.750
0.333 0.667 0.750
0.667 0.333 0.250
```

## Properties
Final energy, eV for the cell shown: -49.124
Calculated density, Mg/m³: 3.682
E above lowest polymorph, eV/atom: 0.235
Energy of formation, meV/atom: 257


No. 2
Crystalline Y5Sc at its relaxed geometry. Source: Alexandria via LeMat-Bulk, functional PBE.

Geometry as POSCAR:
```
Y5Sc
1.0
4.980 0.000 0.000
0.000 14.929 0.000
0.000 0.000 4.985
Y Sc
10 2
Direct
0.000 0.000 0.000
0.000 0.163 0.500
0.000 0.335 0.000
0.000 0.665 0.000
0.000 0.837 0.500
0.500 0.165 0.000
0.500 0.337 0.500
0.500 0.500 0.000
0.500 0.663 0.500
0.500 0.835 0.000
0.000 0.500 0.500
0.500 0.000 0.500
```

## Properties
Final energy, eV for the cell shown: -76.805
Calculated density, Mg/m³: 4.386
Energy of formation, meV/atom: 42


No. 3
Crystalline YSc at its relaxed geometry. Source: Alexandria via LeMat-Bulk, functional PBE.

Geometry as POSCAR:
```
YSc
1.0
11.931 0.000 0.000
0.000 11.931 0.000
0.000 0.000 3.359
Y Sc
8 8
Direct
0.120 0.177 0.000
0.177 0.880 0.000
0.323 0.620 0.500
0.380 0.323 0.500
0.620 0.677 0.500
0.677 0.380 0.500
0.823 0.120 0.000
0.880 0.823 0.000
0.081 0.632 0.000
0.132 0.419 0.500
0.368 0.081 0.000
0.419 0.868 0.500
0.581 0.132 0.500
0.632 0.919 0.000
0.868 0.581 0.500
0.919 0.368 0.000
```

## Properties
Final energy, eV for the cell shown: -98.139
Calculated density, Mg/m³: 3.719
E above lowest polymorph, eV/atom: 0.241
Energy of formation, meV/atom: 264